[1]
{"formula": "PuScZnFe", "functional": "PBE", "state": "optimized geometry", "formation_energy_ev_per_atom": -0.013, "energy_ev_per_atom": -7.61, "spacegroup": "F-43m, No. 216", "cell": [[4.747, 0.000, 0.000], [2.373, 4.111, 0.000], [2.373, 1.370, 3.876]], "species": ["Pu", "Sc", "Zn", "Fe"], "frac_coords": [[0.500, 0.500, 0.500], [0.000, 0.000, 0.000], [0.250, 0.250, 0.250], [0.750, 0.750, 0.750]]}


[2]
{"formula": "Ce4OsPd", "functional": "PBE", "state": "optimized geometry", "formation_energy_ev_per_atom": -0.184, "energy_ev_per_atom": -6.88, "spacegroup": "C2/c, No. 15", "cell": [[-6.138, -0.109, 2.489], [0.708, -5.918, -3.846], [5.092, -0.413, 6.388]], "species": ["Pd", "Pd", "Ce", "Ce", "Ce", "Ce", "Ce", "Ce", "Ce", "Ce", "Os", "Os"], "frac_coords": [[0.848, 0.098, 0.196], [0.152, 0.902, 0.804], [0.747, 0.924, 0.453], [0.794, 0.471, 0.547], [0.938, 0.203, 0.891], [0.062, 0.797, 0.109], [0.206, 0.529, 0.453], [0.547, 0.312, 0.109], [0.253, 0.076, 0.547], [0.453, 0.688, 0.891], [0.340, 0.590, 0.180], [0.660, 0.410, 0.820]]}


[3]
{"formula": "Zr2Np3TiP6", "functional": "PBE", "state": "optimized geometry", "formation_energy_ev_per_atom": -1.100, "energy_ev_per_atom": -9.12, "spacegroup": "C2/m, No. 12", "cell": [[-5.277, -0.792, 3.863], [4.196, -4.997, -0.908], [3.673, 3.824, 3.924]], "species": ["Np", "Np", "Np", "Zr", "Zr", "Ti", "P", "P", "P", "P", "P", "P"], "frac_coords": [[0.830, 0.170, 0.500], [0.500, 0.500, 0.500], [0.170, 0.830, 0.500], [0.666, 0.334, 0.000], [0.334, 0.666, 0.000], [0.000, 0.000, 0.000], [0.598, 0.923, 0.767], [0.245, 0.245, 0.761], [0.077, 0.402, 0.233], [0.755, 0.755, 0.239], [0.402, 0.077, 0.233], [0.923, 0.598, 0.767]]}